A plane-wave DFT calculation with GGA-PBE was carried out for crystalline ZnCu3Au at its relaxed geometry.

abc: 4.4133 4.4133 4.4133
angles: 90.00 90.00 90.00
Sites, in units of the cell vectors:
Zn 0.0000 0.0000 0.0000
Au 0.5000 0.5000 0.5000
Cu 0.0000 0.5000 0.0000
Cu 0.0000 0.0000 0.5000
Cu 0.5000 0.0000 0.0000

Energy above the most stable polymorph in this dataset ... 342 meV/atom
Uncorrected energy ... -2.699 eV/atom
ΔE_f ... 669 meV per atom
Magnetization ... 0.00 Bohr magnetons per cell